Record 1
The following is a GGA-PBE calculation of a geometry-optimized Tc2TeAu structure, from the Alexandria database.

a b c (Å): 3.2406 4.7198 9.1654
angles (deg): 90.00 90.00 90.00
Element x y z (fractional)
Tc 0.0000 0.0000 0.2238
Tc 0.0000 0.0000 0.7762
Tc 0.5000 0.5000 0.2762
Tc 0.5000 0.5000 0.7238
Te 0.0000 0.5000 0.5000
Te 0.5000 0.0000 0.0000
Au 0.0000 0.5000 0.0000
Au 0.5000 0.0000 0.5000

## Properties
The formation energy without anion corrections is 0.622 eV/atom. As for the spin magnetization: 0.0 μB/f.u. As for the calculated density: 12.3 g/cm³. Its space group is No. 71.

Record 2
The following is a GGA-PBE calculation of a geometry-optimized Tc2TeAu structure, from the Alexandria database.

a b c (Å): 4.0769 4.0769 8.2472
angles (deg): 90.00 90.00 90.00
Element x y z (fractional)
Tc 0.0000 0.0000 0.0000
Tc 0.0000 0.5000 0.2500
Tc 0.5000 0.0000 0.7500
Tc 0.5000 0.5000 0.5000
Te 0.0000 0.5000 0.7500
Te 0.5000 0.0000 0.2500
Au 0.0000 0.0000 0.5000
Au 0.5000 0.5000 0.0000

## Properties
The formation energy without anion corrections is 0.581 eV/atom. As for the spin magnetization: 0.0 μB/f.u. As for the calculated density: 12.6 g/cm³. Its space group is No. 119.

Record 3
The following is a GGA-PBE calculation of a geometry-optimized TcTeAu structure, from the Alexandria database.

a b c (Å): 11.0523 3.2018 6.8064
angles (deg): 90.00 101.73 90.00
Element x y z (fractional)
Tc 0.1378 0.0000 0.4793
Tc 0.3622 0.5000 0.5207
Tc 0.6378 0.5000 0.4793
Tc 0.8622 0.0000 0.5207
Te 0.0508 0.5000 0.7404
Te 0.4492 0.0000 0.2596
Te 0.5508 0.0000 0.7404
Te 0.9492 0.5000 0.2596
Au 0.1951 0.5000 0.1469
Au 0.3049 0.0000 0.8531
Au 0.6951 0.0000 0.1469
Au 0.8049 0.5000 0.8531

## Properties
The formation energy without anion corrections is 0.208 eV/atom. As for the spin magnetization: 0.0 μB/f.u. As for the relative energy among the computed polymorphs: 0.082 eV per atom. As for the calculated density: 11.9 g/cm³. Its space group is No. 12.

Record 4
The following is a GGA-PBE calculation of a geometry-optimized Tc2TeAu structure, from the Alexandria database.

a b c (Å): 3.0857 3.0857 25.4193
angles (deg): 90.00 90.00 120.00
Element x y z (fractional)
Tc 0.0000 0.0000 0.2459
Tc 0.0000 0.0000 0.7541
Tc 0.3333 0.6667 0.4208
Tc 0.3333 0.6667 0.9126
Tc 0.6667 0.3333 0.0874
Tc 0.6667 0.3333 0.5792
Te 0.0000 0.0000 0.5000
Te 0.3333 0.6667 0.1667
Te 0.6667 0.3333 0.8333
Au 0.0000 0.0000 0.0000
Au 0.3333 0.6667 0.6667
Au 0.6667 0.3333 0.3333

## Properties
The formation energy without anion corrections is 0.544 eV/atom. As for the spin magnetization: 0.0 μB/f.u. As for the calculated density: 12.4 g/cm³. Its space group is No. 166.

Record 5
The following is a GGA-PBE calculation of a geometry-optimized Tc2TeAu structure, from the Alexandria database.

a b c (Å): 6.5671 6.5671 6.5671
angles (deg): 90.00 90.00 90.00
Element x y z (fractional)
Tc 0.0000 0.0000 0.0000
Tc 0.0000 0.5000 0.5000
Tc 0.2500 0.2500 0.2500
Tc 0.2500 0.7500 0.7500
Tc 0.5000 0.0000 0.5000
Tc 0.5000 0.5000 0.0000
Tc 0.7500 0.2500 0.7500
Tc 0.7500 0.7500 0.2500
Te 0.2500 0.2500 0.7500
Te 0.2500 0.7500 0.2500
Te 0.7500 0.2500 0.2500
Te 0.7500 0.7500 0.7500
Au 0.0000 0.0000 0.5000
Au 0.0000 0.5000 0.0000
Au 0.5000 0.0000 0.0000
Au 0.5000 0.5000 0.5000

## Properties
The formation energy without anion corrections is 0.667 eV/atom. As for the spin magnetization: 0.4 μB/f.u. As for the calculated density: 12.2 g/cm³. Its space group is No. 216.

Record 6
The following is a GGA-PBE calculation of a geometry-optimized TcTeAu structure, from the Alexandria database.

a b c (Å): 4.3785 4.3785 3.5855
angles (deg): 90.00 90.00 120.00
Element x y z (fractional)
Tc 0.0000 0.0000 0.0000
Te 0.3333 0.6667 0.1192
Au 0.6667 0.3333 0.5560

## Properties
The formation energy without anion corrections is 0.477 eV/atom. As for the spin magnetization: 0.0 μB/f.u. As for the relative energy among the computed polymorphs: 0.351 eV per atom. As for the calculated density: 11.8 g/cm³. Its space group is No. 156.

Record 7
The following is a GGA-PBE calculation of a geometry-optimized TcTeAu structure, from the Alexandria database.

a b c (Å): 4.7994 5.1244 5.5302
angles (deg): 78.18 88.73 75.57
Element x y z (fractional)
Tc 0.2318 0.4390 0.4160
Tc 0.7682 0.5610 0.5840
Te 0.3570 0.9246 0.2730
Te 0.6430 0.0754 0.7270
Au 0.2304 0.5790 0.8802
Au 0.7696 0.4210 0.1198

## Properties
The formation energy without anion corrections is 0.184 eV/atom. As for the spin magnetization: 0.0 μB/f.u. As for the relative energy among the computed polymorphs: 0.058 eV per atom. As for the calculated density: 10.9 g/cm³. Its space group is No. 2.

Record 8
The following is a GGA-PBE calculation of a geometry-optimized TcTe2Au structure, from the Alexandria database.

a b c (Å): 6.1292 6.1292 12.3298
angles (deg): 90.00 90.00 90.00
Element x y z (fractional)
Tc 0.0000 0.0000 0.0000
Tc 0.0000 0.5000 0.2500
Tc 0.5000 0.0000 0.7500
Tc 0.5000 0.5000 0.5000
Te 0.2227 0.2500 0.1250
Te 0.2500 0.7227 0.3750
Te 0.2500 0.7773 0.8750
Te 0.2773 0.2500 0.6250
Te 0.7227 0.7500 0.6250
Te 0.7500 0.2227 0.8750
Te 0.7500 0.2773 0.3750
Te 0.7773 0.7500 0.1250
Au 0.0000 0.0000 0.5000
Au 0.0000 0.5000 0.7500
Au 0.5000 0.0000 0.2500
Au 0.5000 0.5000 0.0000

## Properties
The formation energy without anion corrections is 0.247 eV/atom. As for the spin magnetization: 0.0 μB/f.u. As for the relative energy among the computed polymorphs: 0.189 eV per atom. As for the calculated density: 7.9 g/cm³. Its space group is No. 122.